[1]
Crystalline YHo8Th2 at its relaxed geometry. Source: Alexandria via LeMat-Bulk, functional PBE.

Unit cell a=8.959 b=8.959 c=6.602 alpha=98.95 beta=98.95 gamma=43.00
Element x y z (fractional)
Y 0.000 0.000 0.000
Ho 0.173 0.653 0.595
Ho 0.200 0.200 0.817
Ho 0.347 0.827 0.405
Ho 0.410 0.410 0.097
Ho 0.590 0.590 0.903
Ho 0.653 0.173 0.595
Ho 0.800 0.800 0.183
Ho 0.827 0.347 0.405
Th 0.247 0.247 0.335
Th 0.753 0.753 0.665

Properties
Symmetry   C2/m
Energy relative to the lowest polymorph listed for this composition   0.0 meV/atom
ΔH_f (0 K)   0.184 eV/atom

***

[2]
Crystalline LiTm2Ga3 at its relaxed geometry. Source: Alexandria via LeMat-Bulk, functional PBE.

Unit cell a=8.016 b=8.016 c=4.618 alpha=90.00 beta=90.00 gamma=65.23
Element x y z (fractional)
Li 0.096 0.904 0.750
Li 0.904 0.096 0.250
Tm 0.180 0.539 0.250
Tm 0.461 0.820 0.250
Tm 0.539 0.180 0.750
Tm 0.820 0.461 0.750
Ga 0.179 0.179 0.000
Ga 0.179 0.179 0.500
Ga 0.404 0.596 0.750
Ga 0.596 0.404 0.250
Ga 0.821 0.821 0.000
Ga 0.821 0.821 0.500

Properties
Symmetry   Cmcm
Energy relative to the lowest polymorph listed for this composition   249.4 meV/atom
ΔH_f (0 K)   -0.278 eV/atom

***

[3]
Crystalline Ba2SbPb at its relaxed geometry. Source: Alexandria via LeMat-Bulk, functional PBE.

Unit cell a=6.120 b=6.120 c=4.204 alpha=90.00 beta=90.00 gamma=104.10
Element x y z (fractional)
Ba 0.000 0.500 0.000
Ba 0.500 0.000 0.000
Sb 0.000 0.000 0.500
Pb 0.500 0.500 0.500

Properties
Symmetry   Cmmm
Energy relative to the lowest polymorph listed for this composition   40.8 meV/atom
Uncorrected formation energy   -2.733 eV/f.u.

***

[4]
Crystalline K2CeU2Se6 at its relaxed geometry. Source: Alexandria via LeMat-Bulk, functional PBE.

Unit cell a=7.335 b=7.335 c=8.219 alpha=98.39 beta=98.39 gamma=120.27
Element x y z (fractional)
K 0.165 0.835 0.000
K 0.835 0.165 0.000
Ce 0.000 0.000 0.500
U 0.334 0.666 0.500
U 0.666 0.334 0.500
Se 0.064 0.408 0.701
Se 0.275 0.275 0.297
Se 0.408 0.064 0.701
Se 0.592 0.936 0.299
Se 0.725 0.725 0.703
Se 0.936 0.592 0.299

Properties
Symmetry   C2/m
Uncorrected formation energy   -15.407 eV/f.u.

***

Result set for calculated density: 8.726; 6.827; 6.563; 5.311 g/cm³, one per record in the order listed.
Result set for volume: 32.39; 22.46; 38.18; 33.20 Å³ per atom, one per record in the order listed.